1.
Below is a geometry-optimized Sc8RuPt2 structure, with properties calculated at the PBE level.

Values from the calculation:
VASP energy: -0.261 hartree per atom
theoretical density: 6.03 g/cm³
ΔE_f: -0.5531 eV per atom

a = 7.4487 Å, b = 7.4487 Å, c = 5.1807 Å
α = 101.36°, β = 101.36°, γ = 118.06°
Last column: nearest neighbours and their distance in Å.
Positions (direct):
Sc1 0.0947 0.3333 0.6111  2 Pt 2.68-2.76
Sc2 0.2034 0.7966 0.0000  1 Ru 2.60, 2 Pt 2.87
Sc3 0.3333 0.0947 0.6111  2 Pt 2.68-2.76
Sc4 0.3614 0.3614 0.1944  1 Ru 2.56
Sc5 0.6386 0.6386 0.8056  1 Ru 2.56
Sc6 0.6667 0.9053 0.3889  2 Pt 2.68-2.76
Sc7 0.7966 0.2034 0.0000  1 Ru 2.60, 2 Pt 2.87
Sc8 0.9053 0.6667 0.3889  2 Pt 2.68-2.76
Ru1 0.0000 0.0000 0.0000  4 Sc 2.56-2.60
Pt1 0.2998 0.7002 0.5000  8 Sc 2.68-2.98
Pt2 0.7002 0.2998 0.5000  8 Sc 2.68-2.98



2.
Below is a geometry-optimized TbPr2NdP4 structure, with properties calculated at the PBE level.

Values from the calculation:
VASP energy: -0.243 hartree per atom
theoretical density: 5.81 g/cm³
ΔE_f: -1.5385 eV per atom

a = 7.1895 Å, b = 4.1547 Å, c = 7.1898 Å
α = 90.00°, β = 109.45°, γ = 90.00°
Last column: nearest neighbours and their distance in Å.
Positions (direct):
Tb1 0.0000 0.0000 0.0000  6 P 2.89-2.90
Pr1 0.5000 0.0000 0.5000  6 P 2.98
Pr2 0.5000 0.5000 0.0000  6 P 2.94-2.95
Nd1 0.0000 0.5000 0.5000  6 P 2.93
P1 0.2424 0.5000 0.2438  2 Tb 2.90, 1 Nd 2.93, 3 Pr 2.94-2.98
P2 0.2450 0.0000 0.7521  1 Tb 2.89, 2 Nd 2.93, 3 Pr 2.95-2.98
P3 0.7550 0.0000 0.2479  1 Tb 2.89, 2 Nd 2.93, 3 Pr 2.95-2.98
P4 0.7576 0.5000 0.7562  2 Tb 2.90, 1 Nd 2.93, 3 Pr 2.94-2.98



3.
Below is a geometry-optimized TaTiHgO6 structure, with properties calculated at the PBE level.

Values from the calculation:
VASP energy: -0.278 hartree per atom
theoretical density: 7.58 g/cm³
formation energy without anion corrections: -2.03 eV per atom

a = 4.8955 Å, b = 4.8955 Å, c = 9.6027 Å
α = 90.00°, β = 90.00°, γ = 90.00°
Last column: nearest neighbours and their distance in Å.
Positions (direct):
Ta1 0.0000 0.0000 0.0000  6 O 1.99-2.02
Ta2 0.5000 0.5000 0.5000  6 O 1.99-2.02
Ti1 0.0000 0.0000 0.6667  6 O 1.96-2.00
Ti2 0.5000 0.5000 0.1667  6 O 1.96-2.00
Hg1 0.0000 0.0000 0.3338  6 O 2.25-2.46
Hg2 0.5000 0.5000 0.8338  6 O 2.25-2.46
O1 0.1749 0.1749 0.8320  1 Ti 2.00, 1 Ta 2.02
O2 0.2163 0.2163 0.5328  1 Ti 1.97, 1 Ta 1.99
O3 0.2213 0.2213 0.1331  1 Ti 1.96, 1 Ta 1.99
O4 0.2787 0.7213 0.6331  1 Ti 1.96, 1 Ta 1.99
O5 0.2837 0.7163 0.0328  1 Ti 1.97, 1 Ta 1.99
O6 0.3251 0.6749 0.3320  1 Ti 2.00, 1 Ta 2.02
O7 0.6749 0.3251 0.3320  1 Ti 2.00, 1 Ta 2.02
O8 0.7163 0.2837 0.0328  1 Ti 1.97, 1 Ta 1.99
O9 0.7213 0.2787 0.6331  1 Ti 1.96, 1 Ta 1.99
O10 0.7787 0.7787 0.1331  1 Ti 1.96, 1 Ta 1.99
O11 0.7837 0.7837 0.5328  1 Ti 1.97, 1 Ta 1.99
O12 0.8251 0.8251 0.8320  1 Ti 2.00, 1 Ta 2.02



4.
Below is a geometry-optimized NpPtS4 structure, with properties calculated at the PBE level.

Values from the calculation:
ΔE to the lowest computed polymorph: 0.664 eV/f.u.
VASP energy: -0.240 hartree per atom
theoretical density: 7.59 g/cm³
formation energy without anion corrections: -0.62 eV per atom

a = 6.4383 Å, b = 6.1376 Å, c = 6.2670 Å
α = 90.00°, β = 98.22°, γ = 90.00°
Last column: nearest neighbours and their distance in Å.
Positions (direct):
Np1 0.0000 0.0000 0.0000  4 S 2.56-2.65
Np2 0.0000 0.5000 0.5000  4 S 2.56-2.65
Pt1 0.5000 0.0000 0.5000  6 S 2.32-2.50
Pt2 0.5000 0.5000 0.0000  6 S 2.32-2.50
S1 0.1821 0.1642 0.3708  1 Pt 2.32, 1 Np 2.56
S2 0.1821 0.3358 0.8708  1 Pt 2.32, 1 Np 2.56
S3 0.3189 0.7129 0.2596  2 Pt 2.50
S4 0.3189 0.7871 0.7596  2 Pt 2.50
S5 0.6811 0.2129 0.2404  2 Pt 2.50
S6 0.6811 0.2871 0.7404  2 Pt 2.50
S7 0.8179 0.6642 0.1292  1 Pt 2.32, 1 Np 2.56
S8 0.8179 0.8358 0.6292  1 Pt 2.32, 1 Np 2.56



5.
Below is a geometry-optimized SiOs2Br structure, with properties calculated at the PBE level.

Values from the calculation:
ΔE to the lowest computed polymorph: 1.728 eV/f.u.
VASP energy: -0.239 hartree per atom
theoretical density: 12.75 g/cm³
formation energy without anion corrections: 0.90 eV per atom

a = 5.8799 Å, b = 5.8799 Å, c = 5.8799 Å
α = 151.64°, β = 138.54°, γ = 50.99°
Last column: nearest neighbours and their distance in Å.
Positions (direct):
Si1 0.0000 0.0000 0.0000  6 Os 2.52-2.64
Os1 0.5715 0.5715 0.0000  4 Si 2.64, 4 Os 2.86-2.88, 2 Br 2.91
Os2 0.8048 0.3048 0.5000  2 Si 2.52, 4 Br 2.57
Br1 0.2628 0.7628 0.5000  4 Os 2.57



6.
Below is a geometry-optimized InGa3Ag structure, with properties calculated at the PBE level.

Values from the calculation:
ΔE to the lowest computed polymorph: 0.935 eV/f.u.
VASP energy: -0.098 hartree per atom
theoretical density: 5.62 g/cm³
ΔE_f: 0.2781 eV per atom

a = 5.0339 Å, b = 5.0339 Å, c = 5.0339 Å
α = 90.00°, β = 90.00°, γ = 90.00°
Last column: nearest neighbours and their distance in Å.
Positions (direct):
In1 0.0000 0.0000 0.0000  12 Ga 3.56
Ga1 0.0000 0.5000 0.5000  2 Ag 2.52
Ga2 0.5000 0.0000 0.5000  2 Ag 2.52
Ga3 0.5000 0.5000 0.0000  2 Ag 2.52
Ag1 0.5000 0.5000 0.5000  6 Ga 2.52



7.
Below is a geometry-optimized GaTcSbTe2 structure, with properties calculated at the PBE level.

Values from the calculation:
ΔE to the lowest computed polymorph: 0.000 eV/f.u.
VASP energy: -0.158 hartree per atom
theoretical density: 6.17 g/cm³
formation energy without anion corrections: 0.46 eV per atom

a = 5.3585 Å, b = 5.3585 Å, c = 5.1057 Å
α = 90.00°, β = 90.00°, γ = 90.00°
Last column: nearest neighbours and their distance in Å.
Positions (direct):
Ga1 0.0000 0.0000 0.0000  8 Te 3.70, 4 Sb 3.79
Tc1 0.5000 0.5000 0.5000  2 Sb 2.55, 4 Te 2.68
Sb1 0.5000 0.5000 0.0000  2 Tc 2.55
Te1 0.0000 0.5000 0.5000  2 Tc 2.68
Te2 0.5000 0.0000 0.5000  2 Tc 2.68



8.
Below is a geometry-optimized CePm2RuN4 structure, with properties calculated at the PBE level.

Values from the calculation:
VASP energy: -0.301 hartree per atom
theoretical density: 8.03 g/cm³
formation energy without anion corrections: -0.93 eV per atom

a = 6.1607 Å, b = 6.1607 Å, c = 11.8903 Å
α = 90.00°, β = 90.00°, γ = 147.46°
Last column: nearest neighbours and their distance in Å.
Positions (direct):
Ce1 0.1130 0.8870 0.7500  6 N 2.55-2.57
Ce2 0.8870 0.1130 0.2500  6 N 2.55-2.57
Pm1 0.3688 0.6312 0.5472  6 N 2.39-2.66
Pm2 0.3688 0.6312 0.9528  6 N 2.39-2.66
Pm3 0.6312 0.3688 0.0472  6 N 2.39-2.66
Pm4 0.6312 0.3688 0.4528  6 N 2.39-2.66
Ru1 0.1477 0.8523 0.2500  4 N 2.03-2.09
Ru2 0.8523 0.1477 0.7500  4 N 2.03-2.09
N1 0.0000 0.0000 0.0000  4 Pm 2.39
N2 0.0000 0.0000 0.5000  4 Pm 2.39
N3 0.2763 0.7237 0.1370  1 Ru 2.03
N4 0.2763 0.7237 0.3630  1 Ru 2.03
N5 0.4516 0.5484 0.7500  2 Ru 2.09
N6 0.5484 0.4516 0.2500  2 Ru 2.09
N7 0.7237 0.2763 0.6370  1 Ru 2.03
N8 0.7237 0.2763 0.8630  1 Ru 2.03



9.
Below is a geometry-optimized PmNd2Y2 structure, with properties calculated at the PBE level.

Values from the calculation:
ΔE to the lowest computed polymorph: 0.000 eV/f.u.
VASP energy: -0.200 hartree per atom
theoretical density: 6.00 g/cm³
ΔE_f: 0.0010 eV per atom

a = 3.6440 Å, b = 3.6440 Å, c = 14.8547 Å
α = 97.07°, β = 97.07°, γ = 60.08°
Last column: nearest neighbours and their distance in Å.
Positions (direct):
Pm1 0.0000 0.0000 0.0000  6 Y 3.58-3.59, 6 Pm 3.64-3.65
Nd1 0.1331 0.1331 0.3962  3 Y 3.60, 9 Nd 3.64-3.71
Nd2 0.8669 0.8669 0.6038  3 Y 3.60, 9 Nd 3.64-3.71
Y1 0.4003 0.4003 0.1973  3 Pm 3.58-3.59, 3 Nd 3.60, 6 Y 3.64-3.65
Y2 0.5997 0.5997 0.8027  3 Pm 3.58-3.59, 3 Nd 3.60, 6 Y 3.64-3.65



10.
Below is a geometry-optimized AcSnPd3Pb structure, with properties calculated at the PBE level.

Values from the calculation:
VASP energy: -0.184 hartree per atom
theoretical density: 9.27 g/cm³
ΔE_f: -0.4521 eV per atom

a = 9.5237 Å, b = 9.5237 Å, c = 5.9009 Å
α = 90.00°, β = 90.00°, γ = 144.29°
Last column: nearest neighbours and their distance in Å.
Positions (direct):
Ac1 0.2056 0.7944 0.7500  4 Pd 2.99-3.10
Ac2 0.7944 0.2056 0.2500  4 Pd 2.99-3.10
Sn1 0.4065 0.5935 0.2500  5 Pd 2.69
Sn2 0.5935 0.4065 0.7500  5 Pd 2.69
Pd1 0.2478 0.2478 0.0000  2 Sn 2.69, 2 Pb 2.79, 4 Pd 2.89-2.95
Pd2 0.2478 0.2478 0.5000  2 Sn 2.69, 2 Pb 2.79, 4 Pd 2.89-2.95
Pd3 0.2584 0.7416 0.2500  1 Sn 2.69, 1 Pb 2.81, 2 Ac 2.99
Pd4 0.7416 0.2584 0.7500  1 Sn 2.69, 1 Pb 2.81, 2 Ac 2.99
Pd5 0.7522 0.7522 0.0000  2 Sn 2.69, 2 Pb 2.79, 4 Pd 2.89-2.95
Pd6 0.7522 0.7522 0.5000  2 Sn 2.69, 2 Pb 2.79, 4 Pd 2.89-2.95
Pb1 0.1033 0.8967 0.2500  5 Pd 2.79-2.81
Pb2 0.8967 0.1033 0.7500  5 Pd 2.79-2.81



11.
Below is a geometry-optimized Rb2TlCd2Au structure, with properties calculated at the PBE level.

Values from the calculation:
VASP energy: -0.062 hartree per atom
theoretical density: 5.78 g/cm³
ΔE_f: -0.1215 eV per atom

a = 9.5579 Å, b = 9.5579 Å, c = 9.5579 Å
α = 133.58°, β = 68.59°, γ = 132.50°
Last column: nearest neighbours and their distance in Å.
Positions (direct):
Rb1 0.1650 0.2355 0.4005  2 Au 3.69, 5 Cd 3.70-4.06, 2 Tl 3.80
Rb2 0.3350 0.7355 0.0705  2 Au 3.69, 5 Cd 3.70-4.06, 2 Tl 3.80
Rb3 0.6650 0.2645 0.9295  2 Au 3.69, 5 Cd 3.70-4.06, 2 Tl 3.80
Rb4 0.8350 0.7645 0.5995  2 Au 3.69, 5 Cd 3.70-4.06, 2 Tl 3.80
Tl1 0.2500 0.7500 0.5000  4 Cd 3.11
Tl2 0.7500 0.2500 0.5000  4 Cd 3.11
Cd1 0.0826 0.7751 0.8577  2 Au 2.88, 2 Tl 3.11
Cd2 0.4174 0.2751 0.6924  2 Au 2.88, 2 Tl 3.11
Cd3 0.5826 0.7249 0.3076  2 Au 2.88, 2 Tl 3.11
Cd4 0.9174 0.2249 0.1423  2 Au 2.88, 2 Tl 3.11
Au1 0.2500 0.2500 0.0000  4 Cd 2.88
Au2 0.7500 0.7500 0.0000  4 Cd 2.88



12.
Below is a geometry-optimized AlGaFe3 structure, with properties calculated at the PBE level.

Values from the calculation:
ΔE to the lowest computed polymorph: 2.710 eV/f.u.
VASP energy: -0.222 hartree per atom
theoretical density: 5.08 g/cm³
ΔE_f: 0.3963 eV per atom

a = 9.2042 Å, b = 9.2042 Å, c = 9.2042 Å
α = 151.90°, β = 151.90°, γ = 40.17°
Last column: nearest neighbours and their distance in Å.
Positions (direct):
Al1 0.0000 0.0000 0.0000  8 Fe 2.39-2.58
Al2 0.7500 0.2500 0.5000  4 Fe 2.47
Ga1 0.3660 0.3660 0.0000  6 Fe 2.46-2.51
Ga2 0.6340 0.6340 0.0000  6 Fe 2.46-2.51
Fe1 0.0743 0.5743 0.5000  2 Ga 2.46, 2 Al 2.58, 4 Fe 2.63
Fe2 0.3710 0.1227 0.2482  2 Fe 2.22-2.25, 2 Al 2.39-2.47
Fe3 0.4257 0.9257 0.5000  2 Ga 2.46, 2 Al 2.58, 4 Fe 2.63
Fe4 0.8745 0.1227 0.7518  2 Fe 2.22-2.25, 2 Al 2.39-2.47
Fe5 0.8773 0.1255 0.2482  2 Fe 2.22-2.25, 2 Al 2.39-2.47
Fe6 0.8773 0.6290 0.7518  2 Fe 2.22-2.25, 2 Al 2.39-2.47